Record 1
{"formula": "LaGaCu3", "functional": "PBE-GGA", "state": "relaxed", "e_above_lowest_polymorph_mev_per_atom": 1154, "sg": "Pm-3m (221)", "dos_at_fermi_per_ev_cell": 2.78, "m_tot_mub_per_fu": 0.00, "total_energy_ev_per_atom": -2.905, "mass_density_g_cm3": 3.5, "ef_ev_per_atom": 1.14, "lattice": [[5.719, 0.000, 0.000], [0.000, 5.719, 0.000], [0.000, 0.000, 5.719]], "species": ["La", "Ga", "Cu", "Cu", "Cu"], "fractional_positions": [[0.000, 0.000, 0.000], [0.500, 0.500, 0.500], [0.000, 0.000, 0.500], [0.000, 0.500, 0.000], [0.500, 0.000, 0.000]]}

=====

Record 2
{"formula": "GdAgPb2", "functional": "PBE-GGA", "state": "relaxed", "e_above_lowest_polymorph_mev_per_atom": 435, "sg": "R-3m (166)", "dos_at_fermi_per_ev_cell": 3.79, "m_tot_mub_per_fu": 7.41, "total_energy_ev_per_atom": -5.959, "mass_density_g_cm3": 9.7, "ef_ev_per_atom": 0.13, "lattice": [[1.741, 1.005, 11.043], [-1.741, 1.005, 11.043], [0.000, -2.011, 11.043]], "species": ["Gd", "Ag", "Pb", "Pb"], "fractional_positions": [[0.000, 0.000, 0.000], [0.500, 0.500, 0.500], [0.097, 0.097, 0.097], [0.903, 0.903, 0.903]]}

=====

Record 3
{"formula": "Y3Zr2Zn3", "functional": "PBE-GGA", "state": "relaxed", "sg": "Immm (71)", "dos_at_fermi_per_ev_cell": 5.75, "m_tot_mub_per_fu": 0.00, "total_energy_ev_per_atom": -5.282, "mass_density_g_cm3": 5.8, "ef_ev_per_atom": -0.24, "lattice": [[-1.728, 2.527, 10.498], [1.728, -2.527, 10.498], [1.728, 2.527, -10.498]], "species": ["Y", "Y", "Y", "Zr", "Zr", "Zn", "Zn", "Zn"], "fractional_positions": [[0.000, 0.000, 0.000], [0.376, 0.876, 0.500], [0.624, 0.124, 0.500], [0.233, 0.233, 0.000], [0.767, 0.767, 0.000], [0.119, 0.619, 0.500], [0.500, 0.500, 0.000], [0.881, 0.381, 0.500]]}

=====

Record 4
{"formula": "Ca3P5S12", "functional": "PBE-GGA", "state": "relaxed", "sg": "Ia-3d (230)", "dos_at_fermi_per_ev_cell": 7.43, "m_tot_mub_per_fu": 0.00, "total_energy_ev_per_atom": -4.686, "raw_formation_energy_kcal_per_mol_atoms": -12.835, "mass_density_g_cm3": 2.6, "lattice": [[-7.533, 7.533, 7.533], [7.533, -7.533, 7.533], [7.533, 7.533, -7.533]], "species": ["Ca", "Ca", "Ca", "Ca", "Ca", "Ca", "Ca", "Ca", "Ca", "Ca", "Ca", "Ca", "P", "P", "P", "P", "P", "P", "P", "P", "P", "P", "P", "P", "P", "P", "P", "P", "P", "P", "P", "P", "S", "S", "S", "S", "S", "S", "S", "S", "S", "S", "S", "S", "S", "S", "S", "S", "S", "S", "S", "S", "S", "S", "S", "S", "S", "S", "S", "S", "S", "S", "S", "S", "S", "S", "S", "S", "S", "S", "S", "S", "S", "S", "S", "S", "S", "S", "S", "S"], "fractional_positions": [[0.125, 0.250, 0.375], [0.125, 0.375, 0.750], [0.250, 0.375, 0.125], [0.250, 0.875, 0.625], [0.375, 0.125, 0.250], [0.375, 0.750, 0.125], [0.625, 0.250, 0.875], [0.625, 0.875, 0.750], [0.750, 0.125, 0.375], [0.750, 0.625, 0.875], [0.875, 0.625, 0.250], [0.875, 0.750, 0.625], [0.000, 0.000, 0.000], [0.000, 0.000, 0.500], [0.000, 0.500, 0.000], [0.000, 0.500, 0.500], [0.125, 0.750, 0.875], [0.125, 0.875, 0.250], [0.250, 0.125, 0.875], [0.250, 0.625, 0.375], [0.375, 0.250, 0.625], [0.375, 0.625, 0.750], [0.500, 0.000, 0.000], [0.500, 0.000, 0.500], [0.500, 0.500, 0.000], [0.500, 0.500, 0.500], [0.625, 0.375, 0.250], [0.625, 0.750, 0.375], [0.750, 0.375, 0.625], [0.750, 0.875, 0.125], [0.875, 0.125, 0.750], [0.875, 0.250, 0.125], [0.018, 0.202, 0.119], [0.018, 0.316, 0.899], [0.083, 0.702, 0.684], [0.083, 0.881, 0.399], [0.101, 0.619, 0.417], [0.101, 0.982, 0.684], [0.119, 0.018, 0.202], [0.119, 0.601, 0.917], [0.184, 0.202, 0.583], [0.184, 0.482, 0.601], [0.202, 0.119, 0.018], [0.202, 0.583, 0.184], [0.298, 0.316, 0.917], [0.298, 0.482, 0.381], [0.316, 0.899, 0.018], [0.316, 0.917, 0.298], [0.381, 0.298, 0.482], [0.381, 0.583, 0.899], [0.399, 0.083, 0.881], [0.399, 0.816, 0.518], [0.417, 0.101, 0.619], [0.417, 0.816, 0.798], [0.482, 0.381, 0.298], [0.482, 0.601, 0.184], [0.518, 0.399, 0.816], [0.518, 0.619, 0.702], [0.583, 0.184, 0.202], [0.583, 0.899, 0.381], [0.601, 0.184, 0.482], [0.601, 0.917, 0.119], [0.619, 0.417, 0.101], [0.619, 0.702, 0.518], [0.684, 0.083, 0.702], [0.684, 0.101, 0.982], [0.702, 0.518, 0.619], [0.702, 0.684, 0.083], [0.798, 0.417, 0.816], [0.798, 0.881, 0.982], [0.816, 0.518, 0.399], [0.816, 0.798, 0.417], [0.881, 0.399, 0.083], [0.881, 0.982, 0.798], [0.899, 0.018, 0.316], [0.899, 0.381, 0.583], [0.917, 0.119, 0.601], [0.917, 0.298, 0.316], [0.982, 0.684, 0.101], [0.982, 0.798, 0.881]]}

=====

Record 5
{"formula": "Te2MoAu", "functional": "PBE-GGA", "state": "relaxed", "e_above_lowest_polymorph_mev_per_atom": 189, "sg": "Imm2 (44)", "dos_at_fermi_per_ev_cell": 3.10, "m_tot_mub_per_fu": 0.00, "total_energy_ev_per_atom": -4.809, "raw_formation_energy_kcal_per_mol_atoms": 6.674, "mass_density_g_cm3": 9.8, "lattice": [[-1.651, 2.138, 6.605], [1.651, -2.138, 6.605], [1.651, 2.138, -6.605]], "species": ["Te", "Te", "Mo", "Au"], "fractional_positions": [[0.000, 0.000, 0.000], [0.721, 0.221, 0.500], [0.558, 0.558, 0.000], [0.348, 0.848, 0.500]]}

=====

Record 6
{"formula": "DyUBi6", "functional": "PBE-GGA", "state": "relaxed", "sg": "Amm2 (38)", "dos_at_fermi_per_ev_cell": 11.48, "m_tot_mub_per_fu": 2.78, "total_energy_ev_per_atom": -5.000, "mass_density_g_cm3": 11.0, "ef_ev_per_atom": -0.10, "lattice": [[4.519, 0.000, 0.000], [0.000, 2.348, 11.724], [0.000, -2.348, 11.724]], "species": ["Dy", "U", "Bi", "Bi", "Bi", "Bi", "Bi", "Bi"], "fractional_positions": [[0.000, 0.000, 0.000], [0.500, 0.652, 0.652], [0.000, 0.135, 0.135], [0.000, 0.384, 0.384], [0.000, 0.761, 0.761], [0.500, 0.257, 0.257], [0.500, 0.517, 0.517], [0.500, 0.896, 0.896]]}